# 1
PBE CaIn2Fe, relaxed; VASP energy = -3.83 eV per atom; calculated density = 5.5 Mg/m³
1.0
1.8511 1.0687 8.3422
-1.8511 1.0687 8.3422
0.0000 -2.1374 8.3422
Ca In Fe
1 2 1
direct
0.0000 0.0000 0.0000
0.2334 0.2334 0.2334
0.7666 0.7666 0.7666
0.5000 0.5000 0.5000

=====

# 2
PBE CaInFe, relaxed; VASP energy = -4.24 eV per atom; calculated density = 5.3 Mg/m³
1.0
-1.6535 1.8294 5.4931
1.6535 -1.8294 5.4931
1.6535 1.8294 -5.4931
Ca In Fe
1 1 1
direct
0.0000 0.0000 0.0000
0.2929 0.2929 0.0000
0.6807 0.6807 0.0000

=====

# 3
PBE CaIn2Fe, relaxed; VASP energy = -3.81 eV per atom; calculated density = 6.0 Mg/m³
1.0
3.0830 -4.5839 0.0000
3.0830 4.5839 0.0000
-0.0243 0.0000 3.2039
Ca In Fe
1 2 1
direct
0.0000 0.0000 0.0000
0.0000 0.5000 0.5000
0.5000 0.0000 0.5000
0.5000 0.5000 0.0000

=====

# 4
PBE CaIn2Fe, relaxed; VASP energy = -3.89 eV per atom; calculated density = 5.6 Mg/m³
1.0
-1.5923 2.1780 6.9565
1.5923 -2.1780 6.9565
1.5923 2.1780 -6.9565
Ca In Fe
1 2 1
direct
0.0000 0.0000 0.0000
0.3561 0.3561 0.0000
0.6878 0.1878 0.5000
0.1917 0.6917 0.5000

=====

# 5
PBE CaIn2Fe, relaxed; VASP energy = -3.76 eV per atom; calculated density = 6.0 Mg/m³
1.0
0.0000 3.5568 3.5568
3.5568 0.0000 3.5568
3.5568 3.5568 0.0000
Ca In Fe
1 2 1
direct
0.0000 0.0000 0.0000
0.5000 0.5000 0.5000
0.7500 0.7500 0.7500
0.2500 0.2500 0.2500

=====

# 6
PBE CaIn3Fe, relaxed; VASP energy = -3.79 eV per atom; polymorph energy (0 for the lowest one) = 0.0 meV per atom; calculated density = 5.8 Mg/m³
1.0
5.0105 0.0000 0.0000
0.0000 5.0105 0.0000
0.0000 0.0000 5.0105
Ca In Fe
1 3 1
direct
0.0000 0.0000 0.0000
0.0000 0.5000 0.5000
0.5000 0.0000 0.5000
0.5000 0.5000 0.0000
0.5000 0.5000 0.5000

=====

# 7
PBE CaIn2Fe, relaxed; VASP energy = -3.89 eV per atom; calculated density = 6.2 Mg/m³
1.0
-2.3289 2.3289 4.0131
2.3289 -2.3289 4.0131
2.3289 2.3289 -4.0131
Ca In Fe
1 2 1
direct
0.0000 0.0000 0.0000
0.2500 0.7500 0.5000
0.7500 0.2500 0.5000
0.5000 0.5000 0.0000

=====

# 8
PBE CaInFe3, relaxed; VASP energy = -4.30 eV per atom; polymorph energy (0 for the lowest one) = 625.0 meV per atom; calculated density = 5.5 Mg/m³
1.0
4.6129 0.0000 0.0000
0.0000 4.6129 0.0000
0.0000 0.0000 4.6129
Ca In Fe
1 1 3
direct
0.0000 0.0000 0.0000
0.5000 0.5000 0.5000
0.0000 0.0000 0.5000
0.0000 0.5000 0.0000
0.5000 0.0000 0.0000

=====

# 9
PBE CaFe3Ir, relaxed; VASP energy = -5.18 eV per atom; polymorph energy (0 for the lowest one) = 1363.8 meV per atom; calculated density = 8.1 Mg/m³
1.0
4.3443 0.0000 0.0000
0.0000 4.3443 0.0000
0.0000 0.0000 4.3443
Ca Fe Ir
1 3 1
direct
0.0000 0.0000 0.0000
0.0000 0.0000 0.5000
0.0000 0.5000 0.0000
0.5000 0.0000 0.0000
0.5000 0.5000 0.5000

=====

# 10
PBE Ca2FeIr2, relaxed; VASP energy = -6.08 eV per atom; calculated density = 9.0 Mg/m³
1.0
6.4025 0.0000 0.0000
0.0000 6.4025 0.0000
0.0000 0.0000 4.6969
Ca Fe Ir
4 2 4
direct
0.1782 0.3218 0.0000
0.3218 0.8218 0.0000
0.6782 0.1782 0.0000
0.8218 0.6782 0.0000
0.0000 0.0000 0.5000
0.5000 0.5000 0.5000
0.1390 0.6390 0.5000
0.3610 0.1390 0.5000
0.6390 0.8610 0.5000
0.8610 0.3610 0.5000

=====

# 11
PBE CaFe2Ir2, relaxed; VASP energy = -7.29 eV per atom; polymorph energy (0 for the lowest one) = 0.0 meV per atom; calculated density = 10.6 Mg/m³
1.0
-2.0810 2.0810 4.8522
2.0810 -2.0810 4.8522
2.0810 2.0810 -4.8522
Ca Fe Ir
1 2 2
direct
0.0000 0.0000 0.0000
0.3852 0.3852 0.0000
0.6148 0.6148 0.0000
0.2500 0.7500 0.5000
0.7500 0.2500 0.5000

=====

# 12
PBE CaFeIr, relaxed; VASP energy = -6.39 eV per atom; calculated density = 8.3 Mg/m³
1.0
-1.5353 1.8288 5.1420
1.5353 -1.8288 5.1420
1.5353 1.8288 -5.1420
Ca Fe Ir
1 1 1
direct
0.0000 0.0000 0.0000
0.7217 0.7217 0.0000
0.2873 0.2873 0.0000

=====

# 13
PBE CaFeIr, relaxed; VASP energy = -6.42 eV per atom; calculated density = 7.7 Mg/m³
1.0
4.0680 0.0000 0.0000
-2.0340 3.5230 0.0000
0.0000 0.0000 4.3611
Ca Fe Ir
1 1 1
direct
0.0000 0.0000 0.0000
0.6667 0.3333 0.4978
0.3333 0.6667 0.5021

=====

# 14
PBE CaFeIr, relaxed; VASP energy = -5.24 eV per atom; calculated density = 7.5 Mg/m³
1.0
0.0000 3.1756 3.1756
3.1756 0.0000 3.1756
3.1756 3.1756 0.0000
Ca Fe Ir
1 1 1
direct
0.0000 0.0000 0.0000
0.7500 0.7500 0.7500
0.2500 0.2500 0.2500

=====

# 15
PBE CaFeIr, relaxed; VASP energy = -5.97 eV per atom; calculated density = 9.3 Mg/m³
1.0
2.9342 0.0000 0.0000
-1.4671 2.5411 0.0000
0.0000 0.0000 6.9294
Ca Fe Ir
1 1 1
direct
0.0000 0.0000 0.0000
0.6667 0.3333 0.3652
0.3333 0.6667 0.6520

=====

Per-record formation energy from the elements, eV per atom: 0.16, 0.16, 0.18, 0.09, 0.22, -0.06, 0.10, 1.72, 2.07, -0.04, 0.04, 0.06, 0.03, 1.21, 0.47